Record 1
An optimized crystal structure of SmCu6Pd2, computed with GGA-PBE.

Cell and atoms, written as CIF:
```
data_SmCu6Pd2
_cell_length_a 4.5293
_cell_length_b 5.1740
_cell_length_c 12.0346
_cell_angle_alpha 90.00
_cell_angle_beta 90.00
_cell_angle_gamma 90.00
_space_group_name_H-M_alt 'I m m m'
_space_group_IT_number 71
_space_group_name_Hall '-I 2 2'
loop_
_atom_site_label
_atom_site_fract_x
_atom_site_fract_y
_atom_site_fract_z
Sm1 0.0000 0.0000 0.0000
Cu1 0.0000 0.2196 0.5000
Cu2 0.0000 0.2447 0.3006
Pd1 0.0000 0.5000 0.1153
```

Output
Uncorrected energy = -80.16 eV for the cell shown
Calculated density = 8.767 g/cm³
Total magnetic moment = 0.0 μB/f.u.
V = 282.0 Å³ per cell



Record 2
An optimized crystal structure of In3AgPd12, computed with GGA-PBE.

Cell and atoms, written as CIF:
```
data_In3AgPd12
_cell_length_a 4.0390
_cell_length_b 4.0390
_cell_length_c 16.0116
_cell_angle_alpha 90.00
_cell_angle_beta 90.00
_cell_angle_gamma 90.00
_space_group_name_H-M_alt 'P 4/m m m'
_space_group_IT_number 123
_space_group_name_Hall '-P 4 2'
loop_
_atom_site_label
_atom_site_fract_x
_atom_site_fract_y
_atom_site_fract_z
In1 0.0000 0.0000 0.0000
In2 0.0000 0.0000 0.2513
Ag1 0.0000 0.0000 0.5000
Pd1 0.0000 0.5000 0.1263
Pd2 0.0000 0.5000 0.3762
Pd3 0.5000 0.5000 0.0000
Pd4 0.5000 0.5000 0.2523
Pd5 0.5000 0.5000 0.5000
```

Output
Uncorrected energy = -78.53 eV for the cell shown
Calculated density = 10.994 g/cm³
Total magnetic moment = 0.0 μB/f.u.
V = 261.2 Å³ per cell



Record 3
An optimized crystal structure of CaCdIn2Rh, computed with GGA-PBE.

Cell and atoms, written as CIF:
```
data_CaCdIn2Rh
_cell_length_a 5.1702
_cell_length_b 5.1702
_cell_length_c 5.3673
_cell_angle_alpha 90.00
_cell_angle_beta 90.00
_cell_angle_gamma 90.00
_space_group_name_H-M_alt 'P 4/m m m'
_space_group_IT_number 123
_space_group_name_Hall '-P 4 2'
loop_
_atom_site_label
_atom_site_fract_x
_atom_site_fract_y
_atom_site_fract_z
Ca1 0.0000 0.0000 0.0000
Cd1 0.5000 0.5000 0.0000
In1 0.0000 0.5000 0.5000
Rh1 0.0000 0.0000 0.5000
```

Output
Calculated density = 5.614 g/cm³
Total magnetic moment = 0.0 μB/f.u.
Relative energy among the computed polymorphs = 0 meV/atom
V = 143.5 Å³ per cell



Record 4
An optimized crystal structure of NaHoZnGa, computed with GGA-PBE.

Cell and atoms, written as CIF:
```
data_NaHoZnGa
_cell_length_a 7.0182
_cell_length_b 7.0182
_cell_length_c 7.0182
_cell_angle_alpha 90.00
_cell_angle_beta 90.00
_cell_angle_gamma 90.00
_space_group_name_H-M_alt 'F -4 3 m'
_space_group_IT_number 216
_space_group_name_Hall 'F -4 2 3'
loop_
_atom_site_label
_atom_site_fract_x
_atom_site_fract_y
_atom_site_fract_z
Na1 0.0000 0.0000 0.0000
Ho1 0.0000 0.0000 0.5000
Zn1 0.2500 0.2500 0.7500
Ga1 0.2500 0.2500 0.2500
```

Output
Uncorrected energy = -43.94 eV for the cell shown
Calculated density = 6.207 g/cm³
Total magnetic moment = 0.0 μB/f.u.
V = 345.7 Å³ per cell



Record 5
An optimized crystal structure of PrHoMgAg, computed with GGA-PBE.

Cell and atoms, written as CIF:
```
data_PrHoMgAg
_cell_length_a 3.7820
_cell_length_b 3.7820
_cell_length_c 7.4592
_cell_angle_alpha 90.00
_cell_angle_beta 90.00
_cell_angle_gamma 90.00
_space_group_name_H-M_alt 'P 4 m m'
_space_group_IT_number 99
_space_group_name_Hall 'P 4 -2'
loop_
_atom_site_label
_atom_site_fract_x
_atom_site_fract_y
_atom_site_fract_z
Pr1 0.0000 0.0000 0.0000
Ho1 0.0000 0.0000 0.4835
Mg1 0.5000 0.5000 0.7300
Ag1 0.5000 0.5000 0.2699
```

Output
Calculated density = 6.817 g/cm³
Total magnetic moment = 0.0 μB/f.u.
Relative energy among the computed polymorphs = 0 meV/atom
V = 106.7 Å³ per cell



Record 6
An optimized crystal structure of RbTc2B, computed with GGA-PBE.

Cell and atoms, written as CIF:
```
data_RbTc2B
_cell_length_a 6.1843
_cell_length_b 6.1843
_cell_length_c 6.1843
_cell_angle_alpha 90.00
_cell_angle_beta 90.00
_cell_angle_gamma 90.00
_space_group_name_H-M_alt 'F m -3 m'
_space_group_IT_number 225
_space_group_name_Hall '-F 4 2 3'
loop_
_atom_site_label
_atom_site_fract_x
_atom_site_fract_y
_atom_site_fract_z
Rb1 0.0000 0.0000 0.0000
Tc1 0.2500 0.2500 0.2500
B1 0.0000 0.0000 0.5000
```

Output
Calculated density = 8.208 g/cm³
Total magnetic moment = 0.0 μB/f.u.
Relative energy among the computed polymorphs = 793 meV/atom
V = 236.5 Å³ per cell



Record 7
An optimized crystal structure of Rb2MoBr5, computed with GGA-PBE.

Cell and atoms, written as CIF:
```
data_Rb2MoBr5
_cell_length_a 7.9890
_cell_length_b 7.9890
_cell_length_c 9.7404
_cell_angle_alpha 90.00
_cell_angle_beta 90.00
_cell_angle_gamma 90.00
_space_group_name_H-M_alt 'I 4 m m'
_space_group_IT_number 107
_space_group_name_Hall 'I 4 -2'
loop_
_atom_site_label
_atom_site_fract_x
_atom_site_fract_y
_atom_site_fract_z
Rb1 0.0000 0.5000 0.0000
Mo1 0.0000 0.0000 0.2209
Br1 0.0000 0.0000 0.9685
Br2 0.2276 0.2276 0.2523
```

Output
ΔE_f (raw) = -1086 meV per atom
Calculated density = 3.560 g/cm³
Total magnetic moment = 3.0 μB/f.u.
Relative energy among the computed polymorphs = 26 meV/atom
V = 621.7 Å³ per cell



Record 8
An optimized crystal structure of Rb2NbIr, computed with GGA-PBE.

Cell and atoms, written as CIF:
```
data_Rb2NbIr
_cell_length_a 7.8932
_cell_length_b 7.8932
_cell_length_c 7.8932
_cell_angle_alpha 90.00
_cell_angle_beta 90.00
_cell_angle_gamma 90.00
_space_group_name_H-M_alt 'F m -3 m'
_space_group_IT_number 225
_space_group_name_Hall '-F 4 2 3'
loop_
_atom_site_label
_atom_site_fract_x
_atom_site_fract_y
_atom_site_fract_z
Rb1 0.2500 0.2500 0.2500
Nb1 0.0000 0.0000 0.0000
Ir1 0.0000 0.0000 0.5000
```

Output
Calculated density = 6.160 g/cm³
Total magnetic moment = 4.0 μB/f.u.
Relative energy among the computed polymorphs = 869 meV/atom
V = 491.8 Å³ per cell



Record 9
An optimized crystal structure of Ce8RuPb2, computed with GGA-PBE.

Cell and atoms, written as CIF:
```
data_Ce8RuPb2
_cell_length_a 5.6608
_cell_length_b 7.0516
_cell_length_c 14.5775
_cell_angle_alpha 90.00
_cell_angle_beta 90.00
_cell_angle_gamma 90.00
_space_group_name_H-M_alt 'I m m m'
_space_group_IT_number 71
_space_group_name_Hall '-I 2 2'
loop_
_atom_site_label
_atom_site_fract_x
_atom_site_fract_y
_atom_site_fract_z
Ce1 0.0000 0.0000 0.1370
Ce2 0.0000 0.2072 0.3789
Ce3 0.0000 0.2657 0.0000
Ru1 0.0000 0.5000 0.5000
Pb1 0.0000 0.5000 0.2015
```

Output
Uncorrected energy = -133.94 eV for the cell shown
Calculated density = 9.339 g/cm³
Total magnetic moment = 4.5 μB/f.u.
V = 581.9 Å³ per cell



Record 10
An optimized crystal structure of Sc4GaIr2Rh, computed with GGA-PBE.

Cell and atoms, written as CIF:
```
data_Sc4GaIr2Rh
_cell_length_a 4.6032
_cell_length_b 4.6032
_cell_length_c 22.6990
_cell_angle_alpha 90.00
_cell_angle_beta 90.00
_cell_angle_gamma 120.00
_space_group_name_H-M_alt 'R -3 m'
_space_group_IT_number 166
_space_group_name_Hall '-R 3 2"'
loop_
_atom_site_label
_atom_site_fract_x
_atom_site_fract_y
_atom_site_fract_z
Sc1 0.0000 0.0000 0.1224
Sc2 0.0000 0.0000 0.3730
Ga1 0.0000 0.0000 0.5000
Ir1 0.0000 0.0000 0.2492
Rh1 0.0000 0.0000 0.0000
```

Output
Uncorrected energy = -182.37 eV for the cell shown
Calculated density = 8.813 g/cm³
Total magnetic moment = 0.0 μB/f.u.
V = 416.5 Å³ per cell



Record 11
An optimized crystal structure of K2Na4Pb, computed with GGA-PBE.

Cell and atoms, written as CIF:
```
data_K2Na4Pb
_cell_length_a 6.9691
_cell_length_b 12.2714
_cell_length_c 13.8761
_cell_angle_alpha 90.00
_cell_angle_beta 104.30
_cell_angle_gamma 90.00
_space_group_name_H-M_alt 'C 1 2/c 1'
_space_group_IT_number 15
_space_group_name_Hall '-C 2yc'
loop_
_atom_site_label
_atom_site_fract_x
_atom_site_fract_y
_atom_site_fract_z
K1 0.0000 0.0322 0.2500
K2 0.0000 0.2814 0.7500
Na1 0.0109 0.2533 0.0436
Na2 0.2200 0.4979 0.4581
Pb1 0.0000 0.3778 0.2500
```

Output
Calculated density = 2.180 g/cm³
Total magnetic moment = 0.0 μB/f.u.
Relative energy among the computed polymorphs = 14 meV/atom
V = 1149.9 Å³ per cell



Record 12
An optimized crystal structure of HoPaP2, computed with GGA-PBE.

Cell and atoms, written as CIF:
```
data_HoPaP2
_cell_length_a 3.8571
_cell_length_b 3.8571
_cell_length_c 20.8229
_cell_angle_alpha 90.00
_cell_angle_beta 90.00
_cell_angle_gamma 120.00
_space_group_name_H-M_alt 'R 3 m'
_space_group_IT_number 160
_space_group_name_Hall 'R 3 -2"'
loop_
_atom_site_label
_atom_site_fract_x
_atom_site_fract_y
_atom_site_fract_z
Ho1 0.0000 0.0000 0.0000
Pa1 0.0000 0.0000 0.1740
P1 0.0000 0.0000 0.4209
P2 0.0000 0.0000 0.5887
```

Output
Calculated density = 8.503 g/cm³
Total magnetic moment = 0.0 μB/f.u.
Relative energy among the computed polymorphs = 170 meV/atom
V = 268.3 Å³ per cell